1.
Material: NaSiSb3
Method: DFT, PBE-GGA
State: relaxed

Lattice parameters (Å, degrees): 5.341 5.341 5.341 90.00 90.00 90.00
Positions (direct):
Sb  0.000  0.500  0.000
Sb  0.000  0.000  0.500
Sb  0.500  0.000  0.000
Si  0.500  0.500  0.500
Na  0.000  0.000  0.000

## Properties
calculated volume	30.5	Å³/atom
SG	Pm-3m (221)
spin magnetization	0.0	μB/f.u.
energy relative to the lowest polymorph listed for this composition	761.3	meV per atom
energy relative to the elements, uncorrected	1129	meV/atom
E	-2.69	eV per atom

---

2.
Material: ZnOsRh
Method: DFT, PBE-GGA
State: relaxed

Lattice parameters (Å, degrees): 6.050 6.050 6.050 153.89 153.89 37.26
Positions (direct):
Os  0.994  0.994  0.000
Rh  0.339  0.339  0.000
Zn  0.667  0.667  0.000

## Properties
calculated volume	14.3	Å³/atom
ΔE_f	0.03	eV/f.u.
SG	I4mm (107)
spin magnetization	0.0	μB/f.u.
energy relative to the lowest polymorph listed for this composition	0.0	meV per atom
E	-6.61	eV per atom

---

3.
Material: Nd5ZrGa4
Method: DFT, PBE-GGA
State: relaxed

Lattice parameters (Å, degrees): 4.144 8.292 8.491 78.68 104.12 90.00
Positions (direct):
Nd  0.827  0.574  0.654
Nd  0.829  0.119  0.657
Nd  0.171  0.881  0.343
Nd  0.500  0.500  0.000
Nd  0.173  0.426  0.346
Zr  0.500  0.000  0.000
Ga  0.364  0.832  0.729
Ga  0.980  0.777  0.960
Ga  0.636  0.168  0.271
Ga  0.020  0.223  0.040

## Properties
calculated volume	27.7	Å³/atom
ΔE_f	-3.25	eV/f.u.
SG	C2/m (12)
spin magnetization	0.0	μB/f.u.
E	-4.77	eV per atom

---

4.
Material: Ho2ThHg
Method: DFT, PBE-GGA
State: relaxed

Lattice parameters (Å, degrees): 3.597 3.597 10.794 80.41 80.41 60.00
Positions (direct):
Ho  0.075  0.075  0.775
Ho  0.258  0.258  0.225
Th  0.500  0.500  0.499
Hg  0.666  0.666  0.001

## Properties
calculated volume	29.7	Å³/atom
ΔE_f	-0.50	eV/f.u.
SG	R3m (160)
spin magnetization	0.0	μB/f.u.
energy relative to the lowest polymorph listed for this composition	129.9	meV per atom
E	-4.34	eV per atom

---

5.
Material: PuGa6Ge
Method: DFT, PBE-GGA
State: relaxed

Lattice parameters (Å, degrees): 3.824 6.371 6.371 90.01 90.00 90.00
Site moments in Bohr magnetons follow the coordinates.
Positions (direct):
Pu  0.500  0.000  0.000  5.36
Ga  0.000  0.733  0.267  0.03
Ga  0.000  0.267  0.733  0.03
Ga  0.000  0.733  0.733  0.03
Ga  0.000  0.267  0.267  0.03
Ga  0.500  0.500  0.000  0.02
Ga  0.500  0.000  0.500  0.02
Ge  0.500  0.500  0.500  -0.02

## Properties
calculated volume	19.4	Å³/atom
ΔE_f	-0.82	eV/f.u.
SG	P4/mmm (123)
spin magnetization	6.0	μB/f.u.
E	-4.74	eV per atom